1.
# PBE LiCa2Dy, optimized geometry
# DOS at the Fermi energy	14.1	states/eV per cell
# energy of formation	0.270	eV/atom
# energy above the most stable polymorph in this dataset	0.164	eV per atom
data_LiCa2Dy
_cell_length_a 3.5705
_cell_length_b 3.5705
_cell_length_c 37.7381
_cell_angle_alpha 90.00
_cell_angle_beta 90.00
_cell_angle_gamma 120.00
_space_group_name_H-M_alt 'R -3 m'
_space_group_IT_number 166
_space_group_name_Hall '-R 3 2"'
loop_
_atom_site_label
_atom_site_type_symbol
_atom_site_fract_x
_atom_site_fract_y
_atom_site_fract_z
Li1 Li 0.0000 0.0000 0.0000
Ca1 Ca 0.0000 0.0000 0.4086
Dy1 Dy 0.0000 0.0000 0.5000

***

2.
# PBE LiCa2Dy, optimized geometry
# DOS at the Fermi energy	8.9	states/eV per cell
# energy of formation	0.118	eV/atom
# energy above the most stable polymorph in this dataset	0.013	eV per atom
data_LiCa2Dy
_cell_length_a 6.425
_cell_length_b 3.708
_cell_length_c 11.748
_cell_angle_alpha 90.00
_cell_angle_beta 100.59
_cell_angle_gamma 90.00
_space_group_name_H-M_alt 'C 1 m 1'
_space_group_IT_number 8
_space_group_name_Hall 'C -2y'
loop_
_atom_site_label
_atom_site_type_symbol
_atom_site_fract_x
_atom_site_fract_y
_atom_site_fract_z
Li1 Li 0.000 0.000 0.000
Ca1 Ca 0.086 0.500 0.759
Ca2 Ca 0.414 0.000 0.242
Dy1 Dy 0.334 0.500 0.501

***

3.
# PBE LiCaDyMg, optimized geometry
# DOS at the Fermi energy	18.2	states/eV per cell
# energy of formation	0.045	eV/atom
data_LiCaDyMg
_cell_length_a 7.699
_cell_length_b 7.699
_cell_length_c 7.699
_cell_angle_alpha 90.00
_cell_angle_beta 90.00
_cell_angle_gamma 90.00
_space_group_name_H-M_alt 'F -4 3 m'
_space_group_IT_number 216
_space_group_name_Hall 'F -4 2 3'
loop_
_atom_site_label
_atom_site_type_symbol
_atom_site_fract_x
_atom_site_fract_y
_atom_site_fract_z
Li1 Li 0.000 0.000 0.000
Ca1 Ca 0.250 0.250 0.750
Dy1 Dy 0.250 0.250 0.250
Mg1 Mg 0.000 0.000 0.500

***

4.
# PBE LiCaDyNi, optimized geometry
# DOS at the Fermi energy	16.8	states/eV per cell
# energy of formation	-0.029	eV/atom
data_LiCaDyNi
_cell_length_a 7.032
_cell_length_b 7.032
_cell_length_c 7.032
_cell_angle_alpha 90.00
_cell_angle_beta 90.00
_cell_angle_gamma 90.00
_space_group_name_H-M_alt 'F -4 3 m'
_space_group_IT_number 216
_space_group_name_Hall 'F -4 2 3'
loop_
_atom_site_label
_atom_site_type_symbol
_atom_site_fract_x
_atom_site_fract_y
_atom_site_fract_z
Li1 Li 0.000 0.000 0.000
Ca1 Ca 0.250 0.250 0.750
Dy1 Dy 0.250 0.250 0.250
Ni1 Ni 0.000 0.000 0.500

***

5.
# PBE Li2Ca2DyPb2, optimized geometry
# DOS at the Fermi energy	8.6	states/eV per cell
# energy of formation	-0.388	eV/atom
data_Li2Ca2DyPb2
_cell_length_a 4.8826
_cell_length_b 4.8826
_cell_length_c 27.8577
_cell_angle_alpha 90.00
_cell_angle_beta 90.00
_cell_angle_gamma 120.00
_space_group_name_H-M_alt 'R -3 m'
_space_group_IT_number 166
_space_group_name_Hall '-R 3 2"'
loop_
_atom_site_label
_atom_site_type_symbol
_atom_site_fract_x
_atom_site_fract_y
_atom_site_fract_z
Li1 Li 0.0000 0.0000 0.1057
Ca1 Ca 0.0000 0.0000 0.3728
Dy1 Dy 0.0000 0.0000 0.5000
Pb1 Pb 0.0000 0.0000 0.2333

***

6.
# PBE LiCaDyPd, optimized geometry
# DOS at the Fermi energy	16.0	states/eV per cell
# energy of formation	-0.353	eV/atom
data_LiCaDyPd
_cell_length_a 7.161
_cell_length_b 7.161
_cell_length_c 7.161
_cell_angle_alpha 90.00
_cell_angle_beta 90.00
_cell_angle_gamma 90.00
_space_group_name_H-M_alt 'F -4 3 m'
_space_group_IT_number 216
_space_group_name_Hall 'F -4 2 3'
loop_
_atom_site_label
_atom_site_type_symbol
_atom_site_fract_x
_atom_site_fract_y
_atom_site_fract_z
Li1 Li 0.000 0.000 0.000
Ca1 Ca 0.250 0.250 0.250
Dy1 Dy 0.250 0.250 0.750
Pd1 Pd 0.000 0.000 0.500

***

7.
# PBE LiCaDy2S4, optimized geometry
# DOS at the Fermi energy	8.7	states/eV per cell
# raw total energy	-5.612	eV/atom
data_LiCaDy2S4
_cell_length_a 3.882
_cell_length_b 12.928
_cell_length_c 13.631
_cell_angle_alpha 90.00
_cell_angle_beta 90.00
_cell_angle_gamma 90.00
_space_group_name_H-M_alt 'C m c m'
_space_group_IT_number 63
_space_group_name_Hall '-C 2c 2'
loop_
_atom_site_label
_atom_site_type_symbol
_atom_site_fract_x
_atom_site_fract_y
_atom_site_fract_z
Li1 Li 0.000 0.150 0.250
Ca1 Ca 0.000 0.119 0.750
Dy1 Dy 0.000 0.370 0.558
S1 S 0.000 0.000 0.000
S2 S 0.000 0.274 0.121
S3 S 0.000 0.454 0.750

***

8.
# PBE LiCa4Dy3S8, optimized geometry
# DOS at the Fermi energy	11.6	states/eV per cell
# raw total energy	-5.577	eV/atom
data_LiCa4Dy3S8
_cell_length_a 7.8925
_cell_length_b 7.8925
_cell_length_c 19.4614
_cell_angle_alpha 90.00
_cell_angle_beta 90.00
_cell_angle_gamma 120.00
_space_group_name_H-M_alt 'R -3 m'
_space_group_IT_number 166
_space_group_name_Hall '-R 3 2"'
loop_
_atom_site_label
_atom_site_type_symbol
_atom_site_fract_x
_atom_site_fract_y
_atom_site_fract_z
Li1 Li 0.0000 0.0000 0.0000
Ca1 Ca 0.0000 0.0000 0.5000
Ca2 Ca 0.0000 0.5000 0.5000
Dy1 Dy 0.0000 0.5000 0.0000
S1 S 0.0000 0.0000 0.2520
S2 S 0.9999 0.5000 0.2530

***

9.
# PBE LiCa3Dy3S8, optimized geometry
# raw total energy	-5.622	eV/atom
data_LiCa3Dy3S8
_cell_length_a 7.8707
_cell_length_b 7.8707
_cell_length_c 19.5500
_cell_angle_alpha 90.00
_cell_angle_beta 90.00
_cell_angle_gamma 120.00
_space_group_name_H-M_alt 'R -3 m'
_space_group_IT_number 166
_space_group_name_Hall '-R 3 2"'
loop_
_atom_site_label
_atom_site_type_symbol
_atom_site_fract_x
_atom_site_fract_y
_atom_site_fract_z
Li1 Li 0.0000 0.0000 0.0000
Ca1 Ca 0.0000 0.5000 0.5000
Dy1 Dy 0.0000 0.5000 0.0000
S1 S 0.0000 0.0000 0.2525
S2 S 0.0018 0.5009 0.7444

***

10.
# PBE LiCa4Dy3Se8, optimized geometry
# DOS at the Fermi energy	11.2	states/eV per cell
# raw total energy	-5.095	eV/atom
data_LiCa4Dy3Se8
_cell_length_a 8.2352
_cell_length_b 8.2352
_cell_length_c 20.3013
_cell_angle_alpha 90.00
_cell_angle_beta 90.00
_cell_angle_gamma 120.00
_space_group_name_H-M_alt 'R -3 m'
_space_group_IT_number 166
_space_group_name_Hall '-R 3 2"'
loop_
_atom_site_label
_atom_site_type_symbol
_atom_site_fract_x
_atom_site_fract_y
_atom_site_fract_z
Li1 Li 0.0000 0.0000 0.0000
Ca1 Ca 0.0000 0.0000 0.5000
Ca2 Ca 0.0000 0.5000 0.5000
Dy1 Dy 0.0000 0.5000 0.0000
Se1 Se 0.0000 0.0000 0.2517
Se2 Se 0.0016 0.5008 0.7470

***

11.
# PBE LiCa3Dy3Se8, optimized geometry
# raw total energy	-5.124	eV/atom
data_LiCa3Dy3Se8
_cell_length_a 8.2088
_cell_length_b 8.2088
_cell_length_c 20.3976
_cell_angle_alpha 90.00
_cell_angle_beta 90.00
_cell_angle_gamma 120.00
_space_group_name_H-M_alt 'R -3 m'
_space_group_IT_number 166
_space_group_name_Hall '-R 3 2"'
loop_
_atom_site_label
_atom_site_type_symbol
_atom_site_fract_x
_atom_site_fract_y
_atom_site_fract_z
Li1 Li 0.0000 0.0000 0.0000
Ca1 Ca 0.0000 0.5000 0.5000
Dy1 Dy 0.0000 0.5000 0.0000
Se1 Se 0.0000 0.0000 0.2522
Se2 Se 0.9998 0.4999 0.2548

***

12.
# PBE LiCa3Dy2Se6, optimized geometry
# DOS at the Fermi energy	7.0	states/eV per cell
# raw total energy	-5.031	eV/atom
data_LiCa3Dy2Se6
_cell_length_a 7.143
_cell_length_b 12.363
_cell_length_c 7.166
_cell_angle_alpha 90.00
_cell_angle_beta 109.42
_cell_angle_gamma 90.00
_space_group_name_H-M_alt 'C 1 2/m 1'
_space_group_IT_number 12
_space_group_name_Hall '-C 2y'
loop_
_atom_site_label
_atom_site_type_symbol
_atom_site_fract_x
_atom_site_fract_y
_atom_site_fract_z
Li1 Li 0.000 0.000 0.000
Ca1 Ca 0.000 0.166 0.500
Ca2 Ca 0.000 0.500 0.500
Dy1 Dy 0.000 0.333 0.000
Se1 Se 0.246 0.166 0.241
Se2 Se 0.248 0.500 0.241